1.
First-principles (meta-GGA SCAN) data for a PBEsol-optimized structure of LiHN3, as listed in Alexandria via LeMat-Bulk.

a b c (Å): 3.2021 3.2021 3.2021
angles (deg): 90.00 90.00 90.00
Fractional positions:
Li (0.0000, 0.0000, 0.0000)
H (0.5000, 0.5000, 0.5000)
N (0.0000, 0.5000, 0.5000)
N (0.5000, 0.0000, 0.5000)
N (0.5000, 0.5000, 0.0000)

Calculated values
SG = Pm-3m
Total energy = -23.14 eV per cell



2.
First-principles (meta-GGA SCAN) data for a PBEsol-optimized structure of Sr2CuIr, as listed in Alexandria via LeMat-Bulk.

a b c (Å): 3.4675 3.4675 8.5125
angles (deg): 90.00 90.00 90.00
Fractional positions:
Sr (0.0000, 0.0000, 0.0000)
Sr (0.5000, 0.5000, 0.4252)
Cu (0.0000, 0.0000, 0.6713)
Ir (0.5000, 0.5000, 0.7582)

Calculated values
SG = P4mm
Formation energy = 0.133 eV/atom